Record 1
First-principles (PBE-GGA) data for a geometry-optimized AcLaPaN4 structure, as listed in the Alexandria database.

Calculated values
uncorrected formation energy	-1204.6	meV per atom
V	125.5	Å³/f.u.
DOS(E_F)	4.97	states/eV/cell
total magnetic moment	0.5	μB per formula unit
raw total energy	-8.609	eV/atom

Lattice parameters (Å, degrees): 7.297 7.297 7.297 145.28 145.28 49.92
Element x y z (fractional)
Ac (0.000, 0.000, 0.000)
La (0.702, 0.702, 0.000)
Pa (0.351, 0.351, 0.000)
N (0.183, 0.183, 0.000)
N (0.353, 0.853, 0.500)
N (0.529, 0.529, 0.000)
N (0.853, 0.353, 0.500)

=====

Record 2
First-principles (PBE-GGA) data for a geometry-optimized VCrSn structure, as listed in the Alexandria database.

Calculated values
V	50.1	Å³/f.u.
DOS(E_F)	2.49	states/eV/cell
total magnetic moment	0.0	μB per formula unit
raw total energy	-7.504	eV/atom

Lattice parameters (Å, degrees): 6.873 6.873 6.873 146.17 146.17 48.59
Element x y z (fractional)
V (0.115, 0.115, 0.000)
V (0.885, 0.885, 0.000)
Cr (0.000, 0.500, 0.500)
Cr (0.500, 0.000, 0.500)
Sn (0.345, 0.345, 0.000)
Sn (0.655, 0.655, 0.000)